Arrangement w

Material: FeNi4Pt
Method: DFT, PBE
State: optimized geometry

Cell lengths 6.6137, 6.6137, 6.6137 Å; angles 90.00, 90.00, 90.00 degrees
With the nearest neighbours (Å) after each atom.
Space group F-43m (No. 216)
Inequivalent atoms, fractional coordinates:
Fe  0.0000  0.0000  0.0000  12 Ni 2.74, 4 Pt 2.86
Ni  0.1249  0.1249  0.6249  6 Ni 2.34
Pt  0.2500  0.2500  0.2500  12 Ni 2.74, 4 Fe 2.86

Values from the calculation:
- Fermi-level density of states: 28.1 states/eV/cell



Arrangement x

Material: FeNi4Pt
Method: DFT, PBE
State: optimized geometry

Cell lengths 8.6798, 4.0604, 5.0463 Å; angles 90.00, 125.54, 90.00 degrees
With the nearest neighbours (Å) after each atom.
Space group C2/m (No. 12)
Inequivalent atoms, fractional coordinates:
Fe  0.0000  0.0000  0.0000  2 Pt 2.52, 12 Ni 2.65-2.69
Ni  0.1655  0.5000  0.4126  5 Ni 2.34-2.53
Ni  0.1662  0.5000  0.9141  5 Ni 2.34-2.53
Pt  0.0000  0.0000  0.5000  2 Fe 2.52, 12 Ni 2.66-2.68

Values from the calculation:
- Fermi-level density of states: 13.9 states/eV/cell



What should be chosen as the most stable of them? Choose arrangement x.



Arrangement w

Material: FeNi6Pt
Method: DFT, PBE
State: optimized geometry

Cell lengths 5.1136, 5.1136, 4.1457 Å; angles 90.00, 90.00, 120.00 degrees
With the nearest neighbours (Å) after each atom.
Space group P-6m2 (No. 187)
Inequivalent atoms, fractional coordinates:
Fe  0.0000  0.0000  0.0000  12 Ni 2.55-2.56
Ni  0.0076  0.5038  0.0000  8 Ni 2.50-2.61, 2 Fe 2.56, 2 Pt 2.56
Ni  0.1677  0.3354  0.5000  8 Ni 2.53-2.57, 2 Fe 2.55, 2 Pt 2.56
Pt  0.6667  0.3333  0.5000  12 Ni 2.56

Values from the calculation:
- Fermi-level density of states: 11.1 states/eV/cell



Arrangement x

Material: FeNi6Pt
Method: DFT, PBE
State: optimized geometry

Cell lengths 5.1234, 5.1234, 3.5700 Å; angles 90.00, 90.00, 90.00 degrees
With the nearest neighbours (Å) after each atom.
Space group P4/mmm (No. 123)
Inequivalent atoms, fractional coordinates:
Fe  0.0000  0.0000  0.0000  12 Ni 2.51-2.56
Ni  0.0000  0.5000  0.0000  8 Ni 2.54, 2 Fe 2.56, 2 Pt 2.56
Ni  0.2429  0.2429  0.5000  8 Ni 2.49-2.63, 2 Fe 2.51, 2 Pt 2.58
Pt  0.5000  0.5000  0.0000  12 Ni 2.56-2.58

Values from the calculation:
- Fermi-level density of states: 10.7 states/eV/cell



Arrangement y

Material: FeNi6Pt
Method: DFT, PBE
State: optimized geometry

Cell lengths 7.1867, 10.1935, 10.2133 Å; angles 90.00, 90.00, 90.00 degrees
With the nearest neighbours (Å) after each atom.
Space group Cmmm (No. 65)
Inequivalent atoms, fractional coordinates:
Fe  0.0000  0.0000  0.2470  12 Ni 2.51-2.58
Fe  0.0000  0.2491  0.0000  12 Ni 2.49-2.56
Ni  0.0000  0.0000  0.0000  8 Ni 2.51, 4 Fe 2.52-2.54
Ni  0.0000  0.0000  0.5000  8 Ni 2.54, 2 Pt 2.54, 2 Fe 2.58
Ni  0.0000  0.2465  0.2433  8 Ni 2.48-2.61, 2 Fe 2.49-2.51, 2 Pt 2.58-2.62
Ni  0.0000  0.5000  0.0000  2 Pt 2.54, 8 Ni 2.56, 2 Fe 2.56
Ni  0.0000  0.5000  0.5000  4 Pt 2.55-2.57, 8 Ni 2.59
Ni  0.2452  0.1234  0.3705  1 Fe 2.51, 8 Ni 2.52-2.65, 3 Pt 2.55-2.61
Ni  0.2459  0.1266  0.1211  8 Ni 2.47-2.58, 3 Fe 2.49-2.54, 1 Pt 2.59
Pt  0.0000  0.2494  0.5000  12 Ni 2.54-2.62
Pt  0.0000  0.5000  0.2486  12 Ni 2.54-2.59

Values from the calculation:
- Fermi-level density of states: 76.8 states/eV/cell



What should be chosen as the most stable of them? Choose arrangement y.